{
  "formula": "Cs3Na2TlI6",
  "functional": "PBE",
  "state": "relaxed",
  "cell": [[11.2290, -2.5590, 0.0000], [11.2290, 2.5590, 0.0000], [-2.5565, 0.0000, 10.0727]],
  "species": ["Cs", "Cs", "Cs", "Na", "Na", "Tl", "I", "I", "I", "I", "I", "I"],
  "frac_coords": [[0.0000, 0.0000, 0.0000], [0.3372, 0.3372, 0.6651], [0.6628, 0.6628, 0.3349], [0.3284, 0.3284, 0.1594], [0.6716, 0.6716, 0.8406], [0.0000, 0.0000, 0.5000], [0.1638, 0.1638, 0.6160], [0.1768, 0.1768, 0.0617], [0.4842, 0.4842, 0.2576], [0.5158, 0.5158, 0.7424], [0.8232, 0.8232, 0.9383], [0.8362, 0.8362, 0.3840]],
  "rho_kg_m3": 4046,
  "formation_energy_uncorrected_ev_per_fu": -15.31,
  "dft_energy_ev_per_atom": -2.6811
}